No. 1
Below is an optimized crystal structure of LiSnSbOs, with properties calculated at the GGA-PBE level.

Cell lengths 4.6546, 4.6546, 4.6546 Å; angles 60.00, 60.00, 60.00 degrees
With the nearest neighbours (Å) after each atom.
Fractional positions:
Sb 0.0000 0.0000 0.0000  4 Os 2.85, 4 Li 2.85
Os 0.2500 0.2500 0.2500  4 Sb 2.85, 4 Sn 2.85
Sn 0.5000 0.5000 0.5000  4 Li 2.85, 4 Os 2.85
Li 0.7500 0.7500 0.7500  4 Sn 2.85, 4 Sb 2.85

Calculated values
Crystal system: cubic
Distance to the lowest polymorph of the same formula, eV/atom: 0.0000
SG: F-43m
M_tot, μB per formula unit: 0.00



No. 2
Below is an optimized crystal structure of Li2ScOs, with properties calculated at the GGA-PBE level.

Cell lengths 4.4442, 4.4442, 4.4442 Å; angles 60.00, 60.00, 60.00 degrees
With the nearest neighbours (Å) after each atom.
Fractional positions:
Li 0.7500 0.7500 0.7500  4 Sc 2.72, 4 Li 2.72
Li 0.5000 0.5000 0.5000  4 Li 2.72, 4 Os 2.72
Sc 0.0000 0.0000 0.0000  4 Li 2.72, 4 Os 2.72
Os 0.2500 0.2500 0.2500  4 Li 2.72, 4 Sc 2.72

Calculated values
Crystal system: cubic
SG: F-43m
M_tot, μB per formula unit: 0.01
VASP energy, Ry/atom: -0.3828



No. 3
Below is an optimized crystal structure of LiOs3Se5, with properties calculated at the GGA-PBE level.

Cell lengths 5.7883, 5.7883, 7.0716 Å; angles 90.00, 90.00, 120.00 degrees
With the nearest neighbours (Å) after each atom.
Fractional positions:
Os 0.0000 0.5000 0.5000  4 Se 2.47
Os 0.5000 0.0000 0.5000  4 Se 2.47
Os 0.5000 0.5000 0.5000  4 Se 2.47
Se 0.3333 0.6667 0.2420  3 Os 2.47
Se 0.0000 0.0000 0.5000  6 Os 2.89
Se 0.6667 0.3333 0.2420  3 Os 2.47
Se 0.6667 0.3333 0.7580  3 Os 2.47
Se 0.3333 0.6667 0.7580  3 Os 2.47
Li 0.0000 0.0000 0.0000  14 Se 3.54-3.75

Calculated values
Crystal system: hexagonal
SG: P6/mmm
M_tot, μB per formula unit: 0.00
VASP energy, Ry/atom: -0.4227



No. 4
Below is an optimized crystal structure of Sr2LiOsSe6, with properties calculated at the GGA-PBE level.

Cell lengths 5.8945, 7.0706, 7.0815 Å; angles 90.60, 114.09, 114.42 degrees
With the nearest neighbours (Å) after each atom.
Fractional positions:
Os 0.5000 0.5000 0.5000  6 Se 2.50-2.57
Se 0.0091 0.2099 0.3231  1 Os 2.50, 1 Li 2.66
Se 0.4665 0.7898 0.6734  1 Os 2.50, 1 Li 2.63
Se 0.5335 0.2102 0.3266  1 Os 2.50, 1 Li 2.63
Se 0.4052 0.6445 0.1590  1 Os 2.57, 1 Li 2.70
Se 0.5948 0.3555 0.8410  1 Os 2.57, 1 Li 2.70
Se 0.9909 0.7901 0.6769  1 Os 2.50, 1 Li 2.66
Sr 0.9848 0.7378 0.2272  7 Se 3.02-3.36
Sr 0.0152 0.2622 0.7728  7 Se 3.02-3.36
Li 0.5000 0.0000 0.0000  6 Se 2.63-2.70

Calculated values
Crystal system: triclinic
SG: P-1
M_tot, μB per formula unit: 0.27
VASP energy, Ry/atom: -0.3369



No. 5
Below is an optimized crystal structure of LiSiOs, with properties calculated at the GGA-PBE level.

Cell lengths 3.9324, 3.9324, 3.9324 Å; angles 60.00, 60.00, 60.00 degrees
With the nearest neighbours (Å) after each atom.
Fractional positions:
Si 0.0000 0.0000 0.0000  4 Os 2.41, 4 Li 2.41
Li 0.2500 0.2500 0.2500  4 Si 2.41
Os 0.7500 0.7500 0.7500  4 Si 2.41

Calculated values
Crystal system: cubic
Distance to the lowest polymorph of the same formula, eV/atom: 0.0000
SG: F-43m
M_tot, μB per formula unit: 0.00



No. 6
Below is an optimized crystal structure of LiSiOs2, with properties calculated at the GGA-PBE level.

Cell lengths 4.2079, 4.2079, 4.2079 Å; angles 60.00, 60.00, 60.00 degrees
With the nearest neighbours (Å) after each atom.
Fractional positions:
Li 0.2500 0.2500 0.2500  4 Si 2.58, 4 Os 2.58
Os 0.7500 0.7500 0.7500  4 Os 2.58, 4 Si 2.58
Os 0.0000 0.0000 0.0000  4 Os 2.58, 4 Li 2.58
Si 0.5000 0.5000 0.5000  4 Li 2.58, 4 Os 2.58

Calculated values
Crystal system: cubic
SG: F-43m
M_tot, μB per formula unit: 0.46
VASP energy, Ry/atom: -0.5424



| no. | ρ (Mg/m³) |
| --- | --- |
| 1 | 10.2 |
| 2 | 6.7 |
| 3 | 7.9 |
| 4 | 5.9 |
| 5 | 8.7 |
| 6 | 13.1 |